1.
Density functional theory data (PBE-GGA) for Co5CuPt6 after structural relaxation.

The structure in POSCAR format:
```
Co5CuPt6
1.0
3.643 -0.018 1.214
0.033 7.396 0.011
-0.004 -0.009 6.083
Co Pt Cu
5 6 1
Direct
0.667 0.500 0.666
0.326 0.000 0.349
0.000 0.500 0.000
0.674 0.000 0.651
0.333 0.500 0.334
0.833 0.747 0.334
0.833 0.253 0.334
0.500 0.251 0.000
0.500 0.749 0.000
0.167 0.747 0.666
0.167 0.253 0.666
0.000 0.000 0.000
```

Results
- formation energy from the elements (eV/atom) = -0.1011
- DOS at the Fermi energy (states/eV/atom) = 1.09
- spin magnetization (μB per atom) = 1.0133
- E_tot (eV/atom) = -6.424
- volume (Å³/cell) = 163.9



2.
Density functional theory data (PBE-GGA) for Co3CuPt after structural relaxation.

The structure in POSCAR format:
```
Co3CuPt
1.0
4.228 0.000 0.000
0.000 4.228 0.000
0.000 0.000 4.228
Co Cu Pt
3 1 1
Direct
0.000 0.500 0.000
0.000 0.000 0.500
0.500 0.000 0.000
0.000 0.000 0.000
0.500 0.500 0.500
```

Results
- formation energy from the elements (eV/atom) = 1.1992
- DOS at the Fermi energy (states/eV/atom) = 1.15
- spin magnetization (μB per atom) = 1.1714
- E_tot (eV/atom) = -5.092
- volume (Å³/cell) = 75.6



3.
Density functional theory data (PBE-GGA) for Co2CuPt after structural relaxation.

The structure in POSCAR format:
```
Co2CuPt
1.0
-2.273 1.284 5.138
3.378 -3.016 -0.317
1.460 1.464 1.625
Co Cu Pt
2 1 1
Direct
0.000 0.000 0.000
0.500 0.000 0.500
0.000 0.500 0.500
0.500 0.500 0.000
```

Results
- formation energy from the elements (eV/atom) = 0.0379
- DOS at the Fermi energy (states/eV/atom) = 1.35
- spin magnetization (μB per atom) = 0.9082
- E_tot (eV/atom) = -6.049
- volume (Å³/cell) = 50.5



4.
Density functional theory data (PBE-GGA) for CoCuPt6 after structural relaxation.

The structure in POSCAR format:
```
CoCuPt6
1.0
-3.805 0.557 0.653
0.303 -1.906 3.389
1.602 6.694 3.622
Co Cu Pt
1 1 6
Direct
0.000 0.000 0.500
0.000 0.000 0.000
0.500 0.500 0.000
0.500 0.500 0.500
0.500 0.000 0.252
0.500 0.000 0.748
0.000 0.500 0.252
0.000 0.500 0.748
```

Results
- formation energy from the elements (eV/atom) = -0.0976
- DOS at the Fermi energy (states/eV/atom) = 1.22
- spin magnetization (μB per atom) = 0.3771
- E_tot (eV/atom) = -6.028
- volume (Å³/cell) = 118.3



Question: What is the spin magnetization in the fourth record?
Answer: 0.3771 μB per atom



Question: What is the formula in the fourth record?
Answer: CoCuPt6



Question: The lowest volume belongs to which entry?
Answer: Co2CuPt